Computed, not measured: CrW3Au after structural relaxation at the PBE level of DFT.

Values from the calculation:
- formation enthalpy at 0 K (eV/atom) = 2.81
- M_tot (μB per cell) = 3.7
- excess energy over the best structure of this formula in the dataset (meV per atom) = 1375
- Fermi-level density of states (states/eV/atom) = 1.335
- total energy (eV for the cell shown) = -37.70

```
CrW3Au
1.0
4.836 0.000 0.000
0.000 4.836 0.000
0.000 0.000 4.836
Cr W Au
1 3 1
Cartesian
0.000 0.000 0.000 Cr
0.000 2.418 2.418 W
2.418 0.000 2.418 W
2.418 2.418 0.000 W
2.418 2.418 2.418 Au
```


Computed, not measured: CrW2Au after structural relaxation at the PBE level of DFT.

Values from the calculation:
- formation enthalpy at 0 K (eV/atom) = 0.65
- M_tot (μB per cell) = 0.0
- excess energy over the best structure of this formula in the dataset (meV per atom) = 357
- Fermi-level density of states (states/eV/atom) = 1.426
- total energy (eV for the cell shown) = -36.22

```
CrW2Au
1.0
0.000 3.148 3.148
3.148 0.000 3.148
3.148 3.148 0.000
Cr W Au
1 2 1
Cartesian
0.000 0.000 0.000 Cr
1.574 1.574 1.574 W
4.723 4.723 4.723 W
3.148 3.148 3.148 Au
```